1.
This record from Alexandria describes Pm2BiW after structural relaxation. The functional is GGA-PBE.

The calculation puts the raw total energy at -6.354 eV/atom. The spin magnetization comes out at 0.00 μB/f.u. The energy relative to the elements comes out at 0.2297 eV per atom.

The structure belongs to space group P4/mmm (No. 123); the cell edges are 5.095, 5.095 and 4.042 Å and the angles 90.00°, 90.00° and 90.00°. Symmetry generates all atoms from Pm at (0.000, 0.500, 0.000), Bi at (0.000, 0.000, 0.500) and W at (0.500, 0.500, 0.500).

***

2.
This record from Alexandria describes CoIrSe2 after structural relaxation. The functional is GGA-PBE.

The calculation puts the raw total energy at -5.829 eV/atom. The value obtained for the formation energy without anion corrections is -0.0951 eV per atom. The spin magnetization comes out at 0.00 μB/f.u.

The structure belongs to space group Pm (No. 6); the cell edges are 3.794, 3.776 and 6.245 Å and the angles 90.00°, 104.99° and 90.00°. Symmetry generates all atoms from Co at (0.000, 0.000, 0.000), Ir at (0.495, 0.500, 0.994), Se at (0.607, 0.000, 0.246) and Se at (0.889, 0.500, 0.746).

***

3.
This record from Alexandria describes YHo4N4 after structural relaxation. The functional is GGA-PBE.

The calculation puts the raw total energy at -7.986 eV/atom. The value obtained for the formation energy without anion corrections is -1.5332 eV per atom. The spin magnetization comes out at 0.00 μB/f.u.

The structure belongs to space group I4/m (No. 87); the cell edges are 7.782, 7.782 and 4.888 Å and the angles 90.00°, 90.00° and 90.00°. Symmetry generates all atoms from Y at (0.000, 0.000, 0.000), Ho at (0.109, 0.688, 0.500) and N at (0.099, 0.701, 0.000).

***

4.
This record from Alexandria describes Co2Mo2H after structural relaxation. The functional is GGA-PBE.

The calculation puts the raw total energy at -7.449 eV/atom. The spin magnetization comes out at 0.00 μB/f.u.

The structure belongs to space group P4/mbm (No. 127); the cell edges are 5.284, 5.284 and 4.233 Å and the angles 90.00°, 90.00° and 90.00°. Symmetry generates all atoms from Co at (0.161, 0.339, 0.000), Mo at (0.168, 0.668, 0.500) and H at (0.000, 0.000, 0.500).

***

5.
This record from Alexandria describes Tb2PmSm6 after structural relaxation. The functional is GGA-PBE.

The calculation puts the raw total energy at -4.689 eV/atom. The spin magnetization comes out at 0.00 μB/f.u. The energy relative to the elements comes out at 0.0143 eV per atom.

The structure belongs to space group P-1 (No. 2); the cell edges are 3.619, 8.858 and 9.565 Å and the angles 90.15°, 100.89° and 90.12°. Symmetry generates all atoms from Tb at (0.055, 0.334, 0.111), Pm at (0.500, 0.000, 0.000), Sm at (0.167, 0.000, 0.333), Sm at (0.279, 0.666, 0.557) and Sm at (0.389, 0.335, 0.779).

***

6.
This record from Alexandria describes SrMoSe2 after structural relaxation. The functional is GGA-PBE.

The calculation puts the raw total energy at -5.426 eV/atom. The value obtained for the formation energy without anion corrections is -0.5553 eV per atom. The spin magnetization comes out at 3.70 μB/f.u.

The structure belongs to space group Immm (No. 71); the cell edges are 4.132, 6.322 and 7.887 Å and the angles 90.00°, 90.00° and 90.00°. Symmetry generates all atoms from Sr at (0.000, 0.000, 0.000), Mo at (0.000, 0.000, 0.500) and Se at (0.000, 0.500, 0.208).

***

7.
This record from Alexandria describes BaSn2PbBr8 after structural relaxation. The functional is GGA-PBE.

The calculation puts the raw total energy at -3.386 eV/atom. The value obtained for the formation energy without anion corrections is -1.1343 eV per atom. The spin magnetization comes out at 0.00 μB/f.u.

The structure belongs to space group P2/m (No. 10); the cell edges are 6.992, 9.260 and 7.306 Å and the angles 90.00°, 90.31° and 90.00°. Symmetry generates all atoms from Ba at (0.000, 0.000, 0.000), Sn at (0.500, 0.256, 0.500), Pb at (0.000, 0.500, 0.000), Br at (0.248, 0.264, 0.166), Br at (0.263, 0.500, 0.660) and Br at (0.274, 0.000, 0.643).

***

8.
This record from Alexandria describes Sr2PtBr after structural relaxation. The functional is GGA-PBE.

The calculation puts the raw total energy at -3.907 eV/atom. The value obtained for the formation energy without anion corrections is -1.1374 eV per atom. The spin magnetization comes out at 0.00 μB/f.u.

The structure belongs to space group P4/mmm (No. 123); the cell edges are 4.500, 4.500 and 6.180 Å and the angles 90.00°, 90.00° and 90.00°. Symmetry generates all atoms from Sr at (0.000, 0.000, 0.000), Sr at (0.500, 0.500, 0.500), Pt at (0.000, 0.000, 0.500) and Br at (0.500, 0.500, 0.000).